a.
Li2Te: PBEsol geometry, SCAN. Values from VASP.

Calculated values
spin magnetization: 0.00 μB per cell

Geometry as Quantum ESPRESSO input:
```
&SYSTEM
  ibrav = 0, nat = 6, ntyp = 2
/
ATOMIC_SPECIES
Te 127.60 Te.upf
Li 6.94 Li.upf
ATOMIC_POSITIONS angstrom
Te 3.081 -4.156 1.994
Te 0.546 -0.944 2.919
Li 0.000 0.000 0.000
Li 2.861 -1.262 0.857
Li 3.407 -2.207 3.776
Li 0.220 -2.893 1.136
CELL_PARAMETERS angstrom
-0.558 1.636 4.273
-1.536 -4.211 -1.075
5.722 -2.525 1.714
```


b.
Li2Te: PBEsol geometry, SCAN. Values from VASP.

Calculated values
spin magnetization: 0.00 μB per cell

Geometry as Quantum ESPRESSO input:
```
&SYSTEM
  ibrav = 0, nat = 6, ntyp = 2
/
ATOMIC_SPECIES
Te 127.60 Te.upf
Li 6.94 Li.upf
ATOMIC_POSITIONS angstrom
Te 0.000 2.667 1.914
Te 2.220 -0.445 6.044
Li 2.220 2.141 5.273
Li 2.220 1.328 0.885
Li 0.000 0.894 7.073
Li 0.000 0.080 2.685
CELL_PARAMETERS angstrom
4.441 0.000 0.000
-2.220 3.968 0.007
0.000 -1.746 7.952
```


The least stable of them is a.